[1]
A geometry-optimized CaPrSn structure. Source: the Alexandria database, functional PBE.

Lattice parameters (Å, degrees): 7.543 7.543 7.543 90.00 90.00 90.00
Space group F-43m (No. 216)
One atom of each set of equivalent atoms:
Ca 0.000 0.000 0.000 x4
Pr 0.000 0.000 0.500 x4
Sn 0.250 0.250 0.750 x4

* E: -49.10 eV/cell
* ρ: 4.64 Mg/m³
* N(E_F): 10.32 states/eV per cell

---

[2]
A geometry-optimized RbFeCu structure. Source: the Alexandria database, functional PBE.

Lattice parameters (Å, degrees): 3.499 3.721 12.372 96.69 91.07 90.01
Space group P-1 (No. 2)
One atom of each set of equivalent atoms:
Rb 0.235 0.344 0.181 x2
Fe 0.246 0.476 0.437 x2
Cu 0.255 0.032 0.580 x2

* ρ: 4.25 Mg/m³
* energy relative to the lowest polymorph listed for this composition: 0.038 eV per formula unit
* N(E_F): 3.87 states/eV per cell

---

[3]
A geometry-optimized Co4IrRh structure. Source: the Alexandria database, functional PBE.

Lattice parameters (Å, degrees): 5.191 14.095 4.069 90.00 90.00 90.00
Space group Cmcm (No. 63)
One atom of each set of equivalent atoms:
Co 0.246 0.042 0.250 x8
Co 0.250 0.208 0.250 x8
Ir 0.000 0.126 0.750 x4
Rh 0.000 0.376 0.250 x4

* E: -176.80 eV/cell
* ρ: 11.84 Mg/m³
* N(E_F): 26.30 states/eV per cell

---

[4]
A geometry-optimized K2I2Br7 structure. Source: the Alexandria database, functional PBE.

Lattice parameters (Å, degrees): 13.483 11.663 5.782 90.00 96.61 90.00
Space group C2/m (No. 12)
One atom of each set of equivalent atoms:
K 0.000 0.238 0.000 x4
I 0.226 0.000 0.554 x4
Br 0.000 0.000 0.500 x2
Br 0.077 0.500 0.191 x4
Br 0.243 0.179 0.164 x8

* ρ: 3.28 Mg/m³
* formation energy (no corrections): -56.1 kJ/mol of atoms
* energy relative to the lowest polymorph listed for this composition: 0.672 eV per formula unit
* N(E_F): 2.61 states/eV per cell

---

[5]
A geometry-optimized CaAl3Zn2 structure. Source: the Alexandria database, functional PBE.

Lattice parameters (Å, degrees): 15.974 4.375 6.938 90.00 110.57 90.00
Space group C2/m (No. 12)
One atom of each set of equivalent atoms:
Ca 0.118 0.000 0.180 x4
Al 0.069 0.000 0.680 x4
Al 0.133 0.500 0.505 x4
Al 0.194 0.500 0.917 x4
Zn 0.019 0.500 0.832 x4
Zn 0.236 0.000 0.671 x4

* ρ: 3.69 Mg/m³
* energy relative to the lowest polymorph listed for this composition: 0.158 eV per formula unit
* N(E_F): 6.93 states/eV per cell

---

[6]
A geometry-optimized K2Zn2Au structure. Source: the Alexandria database, functional PBE.

Lattice parameters (Å, degrees): 3.787 3.787 20.760 90.00 90.00 90.00
Space group I4/mmm (No. 139)
One atom of each set of equivalent atoms:
K 0.000 0.000 0.099 x4
Zn 0.000 0.500 0.250 x4
Au 0.000 0.000 0.500 x2

* ρ: 4.53 Mg/m³
* energy relative to the lowest polymorph listed for this composition: 0.261 eV per formula unit
* N(E_F): 5.71 states/eV per cell

---

[7]
A geometry-optimized CsSe2 structure. Source: the Alexandria database, functional PBE.

Lattice parameters (Å, degrees): 5.319 6.969 7.437 74.76 77.50 69.54
Space group P1 (No. 1)
One atom of each set of equivalent atoms:
Cs 0.000 0.000 0.000 x1
Cs 0.323 0.396 0.483 x1
Se 0.258 0.454 0.974 x1
Se 0.652 0.757 0.669 x1
Se 0.775 0.564 0.992 x1
Se 0.963 0.943 0.523 x1

* ρ: 3.91 Mg/m³
* formation energy (no corrections): -68.1 kJ/mol of atoms
* energy relative to the lowest polymorph listed for this composition: 0.049 eV per formula unit

---

[8]
A geometry-optimized Cs2ScGeBr6 structure. Source: the Alexandria database, functional PBE.

Lattice parameters (Å, degrees): 7.771 7.771 12.501 90.00 90.00 90.00
Space group I4/mmm (No. 139)
One atom of each set of equivalent atoms:
Cs 0.000 0.500 0.250 x4
Sc 0.000 0.000 0.000 x2
Ge 0.000 0.000 0.500 x2
Br 0.000 0.000 0.212 x4
Br 0.244 0.244 0.000 x8

* ρ: 3.80 Mg/m³
* formation energy (no corrections): -131.6 kJ/mol of atoms
* N(E_F): 0.00 states/eV per cell

---

What is the formula in the fifth record? CaAl3Zn2

---

Number 3 is which compound? Co4IrRh